A relaxed structure of TiBIO2. Source: the Alexandria database, functional PBEsol.

Computed properties:
For the energy relative to the elements, uncorrected, the calculation gives -0.647 eV/atom. Its symmetry is P4/mmm.

Structure (extended XYZ):
```
5
Lattice="3.7586 0.0000 0.0000 0.0000 3.7586 0.0000 0.0000 0.0000 5.7344" Properties=species:S:1:pos:R:3 pbc="T T T"
Ti 0.0000 0.0000 0.0000
B 1.8793 1.8793 2.8672
I 0.0000 0.0000 2.8672
O 0.0000 1.8793 0.0000
O 1.8793 0.0000 0.0000
```

A relaxed structure of TlBIO2. Source: the Alexandria database, functional PBEsol.

Computed properties:
For the energy relative to the elements, uncorrected, the calculation gives 0.951 eV/atom. Its symmetry is P4/mmm.

Structure (extended XYZ):
```
5
Lattice="4.0639 0.0000 0.0000 0.0000 4.0639 0.0000 0.0000 0.0000 6.6891" Properties=species:S:1:pos:R:3 pbc="T T T"
Tl 0.0000 0.0000 0.0000
B 2.0319 2.0319 3.3446
I 0.0000 0.0000 3.3446
O 0.0000 2.0319 0.0000
O 2.0319 0.0000 0.0000
```

A relaxed structure of BSbOsI2. Source: the Alexandria database, functional PBEsol.

Computed properties:
For the energy relative to the elements, uncorrected, the calculation gives 1.659 eV/atom. Its symmetry is P4/mmm.

Structure (extended XYZ):
```
5
Lattice="4.6942 0.0000 0.0000 0.0000 4.6942 0.0000 0.0000 0.0000 4.6144" Properties=species:S:1:pos:R:3 pbc="T T T"
B 0.0000 0.0000 0.0000
Sb 0.0000 0.0000 2.3072
Os 2.3471 2.3471 2.3072
I 0.0000 2.3471 0.0000
I 2.3471 0.0000 0.0000
```

A relaxed structure of SnBOsI2. Source: the Alexandria database, functional PBEsol.

Computed properties:
For the energy relative to the elements, uncorrected, the calculation gives 2.126 eV/atom. Its symmetry is P4/mmm.

Structure (extended XYZ):
```
5
Lattice="5.8828 0.0000 0.0000 0.0000 5.8828 0.0000 0.0000 0.0000 4.1695" Properties=species:S:1:pos:R:3 pbc="T T T"
Sn 0.0000 0.0000 0.0000
B 0.0000 0.0000 2.0848
Os 2.9414 2.9414 2.0848
I 0.0000 2.9414 0.0000
I 2.9414 0.0000 0.0000
```

A relaxed structure of BP4S3I3. Source: the Alexandria database, functional PBEsol.

Computed properties:
For the energy relative to the elements, uncorrected, the calculation gives -0.118 eV/atom. Its symmetry is Pnma.

Structure (extended XYZ):
```
44
Lattice="12.5519 0.0000 0.0000 0.0000 11.3256 0.0000 0.0000 0.0000 8.6983" Properties=species:S:1:pos:R:3 pbc="T T T"
B 1.8271 2.8314 0.3353
B 4.4488 8.4942 4.6845
B 8.1030 2.8314 4.0139
B 10.7248 8.4942 8.3630
P 0.2341 1.6914 4.4390
P 0.2341 3.9714 4.4390
P 1.4437 2.8314 7.1220
P 2.1635 2.8314 4.0491
P 4.1125 8.4942 8.3983
P 4.8322 8.4942 2.7729
P 6.0418 7.3542 0.0899
P 6.0418 9.6342 0.0899
P 6.5101 1.6914 8.6084
P 6.5101 3.9714 8.6084
P 7.7197 2.8314 5.9255
P 8.4394 2.8314 0.3000
P 10.3884 8.4942 4.6492
P 11.1081 8.4942 1.5763
P 12.3178 7.3542 4.2593
P 12.3178 9.6342 4.2593
S 0.3564 1.1824 6.4883
S 0.3564 4.4804 6.4883
S 3.1408 2.8314 5.9126
S 3.1352 8.4942 1.5635
S 5.9195 6.8452 2.1391
S 5.9195 10.1433 2.1391
S 6.6324 1.1824 6.5592
S 6.6324 4.4804 6.5592
S 9.4167 2.8314 7.1349
S 9.4111 8.4942 2.7857
S 12.1954 6.8452 2.2101
S 12.1954 10.1433 2.2101
I 0.1907 8.4942 7.3799
I 2.9458 0.9696 0.7461
I 2.9458 4.6932 0.7461
I 3.3302 6.6324 5.0953
I 3.3302 10.3560 5.0953
I 6.0852 2.8314 3.0308
I 6.4666 8.4942 5.6676
I 9.2217 0.9696 3.6030
I 9.2217 4.6932 3.6030
I 9.6061 6.6324 7.9522
I 9.6061 10.3560 7.9522
I 12.3612 2.8314 1.3184
```

A relaxed structure of BSb2PI. Source: the Alexandria database, functional PBEsol.

Computed properties:
For the energy relative to the elements, uncorrected, the calculation gives 1.468 eV/atom. Its symmetry is P4/mmm.

Structure (extended XYZ):
```
5
Lattice="5.1699 0.0000 0.0000 0.0000 5.1699 0.0000 0.0000 0.0000 5.2976" Properties=species:S:1:pos:R:3 pbc="T T T"
B 0.0000 0.0000 0.0000
Sb 0.0000 2.5850 2.6488
Sb 2.5850 0.0000 2.6488
P 2.5850 2.5850 2.6488
I 2.5850 2.5850 0.0000
```

A relaxed structure of TcBPI2. Source: the Alexandria database, functional PBEsol.

Computed properties:
For the energy relative to the elements, uncorrected, the calculation gives 1.409 eV/atom. Its symmetry is P4/mmm.

Structure (extended XYZ):
```
5
Lattice="4.8542 0.0000 0.0000 0.0000 4.8542 0.0000 0.0000 0.0000 4.1142" Properties=species:S:1:pos:R:3 pbc="T T T"
Tc 0.0000 0.0000 0.0000
B 0.0000 0.0000 2.0571
P 2.4271 2.4271 0.0000
I 0.0000 2.4271 2.0571
I 2.4271 0.0000 2.0571
```

A relaxed structure of BSbPbI2. Source: the Alexandria database, functional PBEsol.

Computed properties:
For the energy relative to the elements, uncorrected, the calculation gives 0.555 eV/atom. Its symmetry is P4/mmm.

Structure (extended XYZ):
```
5
Lattice="5.1345 0.0000 0.0000 0.0000 5.1345 0.0000 0.0000 0.0000 4.9090" Properties=species:S:1:pos:R:3 pbc="T T T"
B 0.0000 0.0000 0.0000
Sb 0.0000 0.0000 2.4545
Pb 2.5673 2.5673 2.4545
I 0.0000 2.5673 0.0000
I 2.5673 0.0000 0.0000
```

A relaxed structure of BTe2PbI. Source: the Alexandria database, functional PBEsol.

Computed properties:
For the energy relative to the elements, uncorrected, the calculation gives 1.395 eV/atom. Its symmetry is P4/mmm.

Structure (extended XYZ):
```
5
Lattice="5.7586 0.0000 0.0000 0.0000 5.7586 0.0000 0.0000 0.0000 6.0515" Properties=species:S:1:pos:R:3 pbc="T T T"
B 0.0000 0.0000 0.0000
Te 0.0000 2.8793 3.0257
Te 2.8793 0.0000 3.0257
Pb 2.8793 2.8793 3.0257
I 2.8793 2.8793 0.0000
```

A relaxed structure of B3PdI. Source: the Alexandria database, functional PBEsol.

Computed properties:
For the energy relative to the elements, uncorrected, the calculation gives 2.662 eV/atom. Its symmetry is Pm-3m.

Structure (extended XYZ):
```
5
Lattice="4.3159 0.0000 0.0000 0.0000 4.3159 0.0000 0.0000 0.0000 4.3159" Properties=species:S:1:pos:R:3 pbc="T T T"
B 0.0000 0.0000 2.1580
B 0.0000 2.1580 0.0000
B 2.1580 0.0000 0.0000
Pd 2.1580 2.1580 2.1580
I 0.0000 0.0000 0.0000
```

A relaxed structure of BPd2I. Source: the Alexandria database, functional PBEsol.

Computed properties:
For the energy relative to the elements, uncorrected, the calculation gives 0.221 eV/atom. Its symmetry is I-42d.

Structure (extended XYZ):
```
8
Lattice="-2.5253 2.5253 5.9782 2.5253 -2.5253 5.9782 2.5253 2.5253 -5.9782" Properties=species:S:1:pos:R:3 pbc="T T T"
B 0.0000 0.0000 0.0000
B 0.0000 2.5253 2.9891
Pd 3.7880 0.6610 -1.4945
Pd 0.6610 1.2627 1.4945
Pd -1.2627 1.8643 4.4836
Pd 1.8643 1.2627 7.4727
I 2.5253 0.0000 2.9891
I 0.0000 0.0000 5.9782
```

A relaxed structure of BSb2PdI. Source: the Alexandria database, functional PBEsol.

Computed properties:
For the energy relative to the elements, uncorrected, the calculation gives 0.854 eV/atom. Its symmetry is P4/mmm.

Structure (extended XYZ):
```
5
Lattice="4.6983 0.0000 0.0000 0.0000 4.6983 0.0000 0.0000 0.0000 4.8541" Properties=species:S:1:pos:R:3 pbc="T T T"
B 0.0000 0.0000 0.0000
Sb 0.0000 2.3491 0.0000
Sb 2.3491 0.0000 0.0000
Pd 2.3491 2.3491 2.4271
I 0.0000 0.0000 2.4271
```